Crystalline VGeCF2 at its relaxed geometry. Source: the Alexandria database, functional PBE+U.

It has space group P4/mmm (No. 123), with a = 3.865 Å, b = 3.865 Å, c = 4.304 Å, α = 90.00°, β = 90.00° and γ = 90.00°. The distinct sites, in fractional coordinates, are V at (0.000, 0.000, 0.000), Ge at (0.500, 0.500, 0.000), C at (0.000, 0.000, 0.500) and F at (0.000, 0.500, 0.500).

As for the raw total energy: -4.38 eV/atom.